A relaxed AlInSnRh2 crystal. Source: Alexandria, functional PBE-GGA.

Geometry as POSCAR:
```
AlInSnRh2
1.0
4.9401 0.0000 0.0000
0.0000 4.9401 0.0000
0.0000 0.0000 4.9392
Al In Sn Rh
1 1 1 2
direct
0.0000 0.0000 0.0000
0.5000 0.5000 0.0000
0.0000 0.0000 0.5000
0.0000 0.5000 0.5000
0.5000 0.0000 0.5000
```

Results
**Symmetry**: P4/mmm
**E_form**: 0.7783 eV per atom

A relaxed Ac2PtS crystal. Source: Alexandria, functional PBE-GGA.

Geometry as POSCAR:
```
Ac2PtS
1.0
4.2751 0.0000 0.0000
-2.1375 3.7023 0.0000
0.0000 0.0000 15.5442
Ac Pt S
4 2 2
direct
0.3333 0.6667 0.1157
0.3333 0.6667 0.3843
0.6667 0.3333 0.6157
0.6667 0.3333 0.8843
0.0000 0.0000 0.0000
0.0000 0.0000 0.5000
0.3333 0.6667 0.7500
0.6667 0.3333 0.2500
```

Results
**Formation energy without anion corrections**: -1.508 eV/atom
**Symmetry**: P6_3/mmc

A relaxed NaLa2PbSe4 crystal. Source: Alexandria, functional PBE-GGA.

Geometry as POSCAR:
```
NaLa2PbSe4
1.0
-4.3591 4.3663 6.1386
4.3591 -4.3663 6.1386
4.3591 4.3663 -6.1386
Na La Pb Se
2 4 2 8
direct
0.5000 0.0000 0.0000
0.5000 0.5000 0.5000
0.0000 0.0000 0.0000
0.0000 0.0000 0.5000
0.0000 0.5000 0.0000
0.5000 0.0000 0.5000
0.0000 0.5000 0.5000
0.5000 0.5000 0.0000
0.2409 0.2469 0.9941
0.2472 0.7531 0.4941
0.2492 0.2440 0.4948
0.2492 0.7544 0.0052
0.7508 0.2456 0.9948
0.7508 0.7560 0.5052
0.7528 0.2469 0.5059
0.7591 0.7531 0.0059
```

Results
**Formation energy without anion corrections**: -1.466 eV/atom
**Symmetry**: Imma

A relaxed SnP2IrCl crystal. Source: Alexandria, functional PBE-GGA.

Geometry as POSCAR:
```
SnP2IrCl
1.0
4.5513 0.0000 0.0000
0.0000 4.5513 0.0000
0.0000 0.0000 5.3963
Sn P Ir Cl
1 2 1 1
direct
0.0000 0.0000 0.0000
0.0000 0.5000 0.5000
0.5000 0.0000 0.5000
0.5000 0.5000 0.5000
0.5000 0.5000 0.0000
```

Results
**Formation energy without anion corrections**: 0.324 eV/atom
**Symmetry**: P4/mmm

A relaxed NaNiBi crystal. Source: Alexandria, functional PBE-GGA.

Geometry as POSCAR:
```
NaNiBi
1.0
-1.7948 1.7948 5.4657
1.7948 -1.7948 5.4657
1.7948 1.7948 -5.4657
Na Ni Bi
1 1 1
direct
0.0000 0.0000 0.0000
0.2945 0.2945 0.0000
0.7127 0.7127 0.0000
```

Results
**Symmetry**: I4mm
**E_form**: 0.0438 eV per atom

A relaxed Ba2AcAu crystal. Source: Alexandria, functional PBE-GGA.

Geometry as POSCAR:
```
Ba2AcAu
1.0
4.0492 0.0000 0.0000
0.0000 4.0492 0.0000
0.0000 0.0000 10.4044
Ba Ac Au
2 1 1
direct
0.0000 0.0000 0.1869
0.0000 0.0000 0.8131
0.5000 0.5000 0.5000
0.5000 0.5000 0.0000
```

Results
**Symmetry**: P4/mmm
**E_form**: -0.2765 eV per atom

A relaxed ScTl2Mo crystal. Source: Alexandria, functional PBE-GGA.

Geometry as POSCAR:
```
ScTl2Mo
1.0
3.1582 0.0000 0.0000
0.0000 3.1582 0.0000
0.0000 0.0000 8.4411
Sc Tl Mo
1 2 1
direct
0.0000 0.0000 0.0000
0.5000 0.5000 0.2628
0.5000 0.5000 0.7372
0.0000 0.0000 0.5000
```

Results
**Symmetry**: P4/mmm
**E_form**: 0.3657 eV per atom

A relaxed MgNO2F crystal. Source: Alexandria, functional PBE-GGA.

Geometry as POSCAR:
```
MgNO2F
1.0
3.5303 0.0000 0.0000
0.0000 3.5303 0.0000
0.0000 0.0000 3.6951
Mg N O F
1 1 2 1
direct
0.0000 0.0000 0.0000
0.5000 0.5000 0.5000
0.0000 0.5000 0.5000
0.5000 0.0000 0.5000
0.5000 0.5000 0.0000
```

Results
**Formation energy without anion corrections**: -0.017 eV/atom
**Symmetry**: P4/mmm

A relaxed PuNpCoTc crystal. Source: Alexandria, functional PBE-GGA.

Geometry as POSCAR:
```
PuNpCoTc
1.0
0.0000 3.3327 3.3327
3.3327 0.0000 3.3327
3.3327 3.3327 0.0000
Pu Np Co Tc
1 1 1 1
direct
0.0000 0.0000 0.0000
0.5000 0.5000 0.5000
0.2500 0.2500 0.2500
0.7500 0.7500 0.7500
```

Results
**Symmetry**: F-43m
**E_form**: 0.1535 eV per atom

A relaxed CeLuZn4 crystal. Source: Alexandria, functional PBE-GGA.

Geometry as POSCAR:
```
CeLuZn4
1.0
0.0000 3.8528 3.8528
3.8528 0.0000 3.8528
3.8528 3.8528 0.0000
Ce Lu Zn
1 1 4
direct
0.0000 0.0000 0.0000
0.7500 0.7500 0.7500
0.3754 0.3754 0.3754
0.3754 0.3754 0.8737
0.3754 0.8737 0.3754
0.8737 0.3754 0.3754
```

Results
**Symmetry**: F-43m
**E_form**: -0.2914 eV per atom

A relaxed Li4DySc3S8 crystal. Source: Alexandria, functional PBE-GGA.

Geometry as POSCAR:
```
Li4DySc3S8
1.0
3.7521 2.1663 6.1122
-3.7521 2.1663 6.1122
0.0000 -4.3326 6.1122
Li Dy Sc S
4 1 3 8
direct
0.0000 0.0000 0.0000
0.0000 0.5000 0.5000
0.5000 0.0000 0.5000
0.5000 0.5000 0.0000
0.5000 0.5000 0.5000
0.0000 0.0000 0.5000
0.0000 0.5000 0.0000
0.5000 0.0000 0.0000
0.2368 0.7539 0.7539
0.2462 0.2462 0.2462
0.2461 0.2461 0.7632
0.2461 0.7632 0.2461
0.7539 0.2368 0.7539
0.7539 0.7539 0.2368
0.7538 0.7538 0.7538
0.7632 0.2461 0.2461
```

Results
**Formation energy without anion corrections**: -1.783 eV/atom
**Symmetry**: R-3m

A relaxed MgNiRu crystal. Source: Alexandria, functional PBE-GGA.

Geometry as POSCAR:
```
MgNiRu
1.0
4.0264 -2.3551 0.0000
4.0264 2.3551 0.0000
-2.5994 0.0000 4.3905
Mg Ni Ru
2 2 2
direct
0.0000 0.0000 0.0000
0.8083 0.1917 0.5000
0.1595 0.5123 0.4889
0.4877 0.8405 0.5111
0.3270 0.3482 0.9923
0.6518 0.6730 0.0077
```

Results
**Symmetry**: C2
**E_form**: 0.0515 eV per atom